[1]
Tb8AsS6: optimized geometry, PBE-GGA.

Output
Total energy, hartree per atom: -0.21991

Structure (extended XYZ):
```
15
Lattice="-2.8604 1.9257 -2.0258 5.3938 -0.8736 -8.4465 -6.6024 -7.1612 2.5151" Properties=species:S:1:pos:R:3 pbc="T T T"
S -1.8541 -1.4605 -4.7162
S 0.4824 -0.0759 -6.6990
S -4.5513 -6.0331 -1.2583
S -2.2149 -4.6485 -3.2411
S -0.9053 -3.0213 -7.5395
S -3.1637 -3.0877 -0.4177
As -1.4302 0.9629 -1.0129
Tb -0.5760 0.9123 -4.1811
Tb 1.1531 -1.5223 -8.9368
Tb -5.2220 -4.5867 0.9796
Tb -3.4930 -7.0213 -3.7761
Tb 0.6723 -2.4828 -5.3046
Tb -1.3064 -2.0998 -2.1853
Tb -4.7412 -3.6262 -2.6527
Tb -2.7626 -4.0092 -5.7720
```

---

[2]
Tb3As2S2: optimized geometry, PBE-GGA.

Output
Total energy, hartree per atom: -0.21997

Structure (extended XYZ):
```
7
Lattice="4.0588 0.0000 0.0000 0.0000 7.1905 -0.7212 -2.0294 -3.0258 6.9627" Properties=species:S:1:pos:R:3 pbc="T T T"
S 0.0000 1.5918 1.5881
S 2.0294 2.5729 4.6533
As 0.0000 -0.6148 4.8942
As 2.0294 4.7795 1.3473
Tb 0.0000 3.5952 -0.3606
Tb 2.0294 0.3754 2.8921
Tb 0.0000 3.7893 3.3494
```

---

[3]
Tb3As2S: optimized geometry, PBE-GGA.

Output
Total energy, hartree per atom: -0.23109

Structure (extended XYZ):
```
6
Lattice="-2.1799 -3.4060 0.5548 3.3377 -2.7575 -3.8145 3.1764 1.4104 6.1240" Properties=species:S:1:pos:R:3 pbc="T T T"
Tb -0.1684 -3.5252 0.2189
Tb 0.4982 -0.9978 3.3394
Tb 4.5026 -1.2279 2.6454
As 1.4915 -4.9000 -1.6990
As 2.8427 0.1468 4.5634
S 2.1671 -2.3766 1.4322
```

---

[4]
Tb2AsS: optimized geometry, PBE-GGA.

Output
Total energy, hartree per atom: -0.23191

Structure (extended XYZ):
```
4
Lattice="-1.6253 3.6628 0.5887 -3.9696 0.3625 0.7180 -0.7492 0.8016 6.8774" Properties=species:S:1:pos:R:3 pbc="T T T"
S -3.1720 2.4134 4.0920
As 0.0000 0.0000 0.0000
Tb -4.7604 3.6213 6.1246
Tb -1.5837 1.2056 2.0594
```

---

[5]
Tb2AsS: optimized geometry, PBE-GGA.

Output
Total energy, hartree per atom: -0.23208

Structure (extended XYZ):
```
8
Lattice="4.0443 0.0000 0.0000 0.0000 5.7146 0.0000 0.0000 0.0000 8.0661" Properties=species:S:1:pos:R:3 pbc="T T T"
As 0.0000 2.8573 7.0343
As 2.0221 0.0000 1.0318
S 0.0000 2.8573 3.0449
S 2.0221 0.0000 5.0211
Tb 0.0000 0.0000 7.0520
Tb 2.0221 2.8573 1.0141
Tb 0.0000 0.0000 3.0338
Tb 2.0221 2.8573 5.0323
```

---

[6]
Tb3AsS2: optimized geometry, PBE-GGA.

Output
Total energy, hartree per atom: -0.23317

Structure (extended XYZ):
```
6
Lattice="4.0042 0.0000 0.0000 0.0000 5.6586 0.0000 -2.0021 -2.8293 6.0019" Properties=species:S:1:pos:R:3 pbc="T T T"
S -1.0010 -1.4147 4.9938
S 3.0031 4.2440 1.0081
Tb 1.0010 -1.4147 3.0010
Tb -1.0010 1.4146 5.0261
Tb 3.0031 1.4147 0.9758
As 1.0010 1.4147 3.0010
```